Dy2InSi2: optimized geometry, PBE-GGA.

Calculated volume: 22.22 Å³ per atom
Theoretical density: 7.4 Mg/m³
Calculated total energy: -5.2166 eV per atom

a = 4.093 Å, b = 3.785 Å, c = 7.418 Å
α = 104.78°, β = 90.00°, γ = 90.00°
Fractional positions:
Dy  0.500  0.638  0.276
Dy  0.500  0.362  0.724
In  0.000  0.000  0.000
Si  0.000  0.200  0.400
Si  0.000  0.800  0.600

---

Ca3ZrFe: optimized geometry, PBE-GGA.

Distance to the lowest polymorph of the same formula: 0.862 eV per atom
Calculated volume: 35.15 Å³ per atom
Theoretical density: 2.5 Mg/m³
Formation energy from the elements: 1.741 eV per atom

a = 5.601 Å, b = 5.601 Å, c = 5.601 Å
α = 90.00°, β = 90.00°, γ = 90.00°
Fractional positions:
Ca  0.000  0.500  0.000
Ca  0.000  0.000  0.500
Ca  0.500  0.000  0.000
Fe  0.500  0.500  0.500
Zr  0.000  0.000  0.000

---

InSiRh: optimized geometry, PBE-GGA.

Calculated volume: 20.12 Å³ per atom
Theoretical density: 6.8 Mg/m³
Calculated total energy: -5.4848 eV per atom

a = 6.513 Å, b = 5.274 Å, c = 7.066 Å
α = 84.08°, β = 90.00°, γ = 90.00°
Fractional positions:
Rh  0.463  0.215  0.611
Rh  0.963  0.785  0.889
Rh  0.537  0.785  0.389
Rh  0.037  0.215  0.111
Si  0.712  0.893  0.665
Si  0.788  0.893  0.165
Si  0.288  0.107  0.335
Si  0.212  0.107  0.835
In  0.288  0.629  0.122
In  0.212  0.629  0.622
In  0.712  0.371  0.878
In  0.788  0.371  0.378